The following is a PBE calculation of an optimized crystal structure of PmSm15Ho4, from Alexandria via LeMat-Bulk.

Size of the total moment ... 0.000 μB/atom
Energy of formation ... 1.5 kJ/mol of atoms
Space group ... No. 123

Unit cell a=5.1051 b=5.1051 c=25.4755 alpha=90.00 beta=90.00 gamma=90.00
Element x y z (fractional)
Sm1 0.5000 0.5000 0.0000
Ho1 0.0000 0.0000 0.2008
Sm2 0.5000 0.0000 0.3004
Sm3 0.0000 0.5000 0.3004
Sm4 0.0000 0.5000 0.5000
Sm5 0.0000 0.5000 0.8988
Sm6 0.5000 0.5000 0.4001
Sm7 0.0000 0.5000 0.1012
Ho2 0.0000 0.0000 0.5998
Sm8 0.5000 0.0000 0.6996
Ho3 0.0000 0.0000 0.7992
Sm9 0.5000 0.5000 0.5999
Sm10 0.5000 0.0000 0.8988
Ho4 0.0000 0.0000 0.4002
Pm1 0.0000 0.0000 0.0000
Sm11 0.5000 0.0000 0.5000
Sm12 0.5000 0.5000 0.2011
Sm13 0.0000 0.5000 0.6996
Sm14 0.5000 0.0000 0.1012
Sm15 0.5000 0.5000 0.7989